(1)
A plane-wave DFT calculation with GGA-PBE was carried out for a relaxed NdIn5Hg4 crystal.

The energy of formation comes out at -127 meV per atom.

It has space group P-1 (No. 2), with a = 4.957 Å, b = 7.344 Å, c = 7.930 Å, α = 78.79°, β = 84.42° and γ = 88.93°. The asymmetric unit holds Nd at (0.000, 0.000, 0.000), In at (0.000, 0.500, 0.000), In at (0.048, 0.798, 0.649), In at (0.470, 0.925, 0.325), Hg at (0.049, 0.359, 0.661) and Hg at (0.499, 0.277, 0.012).



(2)
A plane-wave DFT calculation with GGA-PBE was carried out for a relaxed Mn2HIrPt crystal.

The value obtained for the excess energy over the best structure of this formula in the dataset is 70 meV/atom.

It has space group P4/mmm (No. 123), with a = 4.145 Å, b = 4.145 Å, c = 3.579 Å, α = 90.00°, β = 90.00° and γ = 90.00°. The asymmetric unit holds Mn at (0.000, 0.500, 0.000), H at (0.000, 0.000, 0.000), Ir at (0.500, 0.500, 0.500) and Pt at (0.000, 0.000, 0.500).



(3)
A plane-wave DFT calculation with GGA-PBE was carried out for a relaxed OsWSeN2 crystal.

The value obtained for the excess energy over the best structure of this formula in the dataset is 0 meV/atom. The formation energy (no corrections) is 1.20 eV per atom.

It has space group P4/mmm (No. 123), with a = 3.877 Å, b = 3.877 Å, c = 5.350 Å, α = 90.00°, β = 90.00° and γ = 90.00°. The asymmetric unit holds Os at (0.000, 0.000, 0.000), W at (0.500, 0.500, 0.500), Se at (0.500, 0.500, 0.000) and N at (0.000, 0.500, 0.500).



(4)
A plane-wave DFT calculation with GGA-PBE was carried out for a relaxed PmHo5Er crystal.

The value obtained for the excess energy over the best structure of this formula in the dataset is 0 meV/atom. The energy of formation comes out at 107 meV per atom.

It has space group C2/c (No. 15), with a = 8.706 Å, b = 9.602 Å, c = 11.401 Å, α = 90.00°, β = 110.16° and γ = 90.00°. The asymmetric unit holds Pm at (0.250, 0.250, 0.000), Ho at (0.000, 0.085, 0.750), Ho at (0.125, 0.428, 0.667), Ho at (0.170, 0.102, 0.535) and Er at (0.000, 0.259, 0.250).



(5)
A plane-wave DFT calculation with GGA-PBE was carried out for a relaxed DyTiPdPt crystal.

The energy of formation comes out at -752 meV per atom.

It has space group F-43m (No. 216), with a = 6.684 Å, b = 6.684 Å, c = 6.684 Å, α = 90.00°, β = 90.00° and γ = 90.00°. The asymmetric unit holds Dy at (0.000, 0.000, 0.000), Ti at (0.000, 0.000, 0.500), Pd at (0.250, 0.250, 0.750) and Pt at (0.250, 0.250, 0.250).



(6)
A plane-wave DFT calculation with GGA-PBE was carried out for a relaxed AlSe5 crystal.

The value obtained for the excess energy over the best structure of this formula in the dataset is 807 meV/atom. The formation energy (no corrections) is 0.63 eV per atom.

It has space group F-43m (No. 216), with a = 8.095 Å, b = 8.095 Å, c = 8.095 Å, α = 90.00°, β = 90.00° and γ = 90.00°. The asymmetric unit holds Al at (0.000, 0.000, 0.000), Se at (0.123, 0.123, 0.377) and Se at (0.250, 0.250, 0.750).